[1]
First-principles (PBE-GGA) data for an optimized crystal structure of CeDyPd2, as listed in Alexandria.

* SG: No. 123

Cell: 3.4648 3.4648 7.3811 Å, 90.00 90.00 90.00°
Element x y z (fractional)
Ce: 0.0000 0.0000 0.0000
Dy: 0.0000 0.0000 0.5000
Pd: 0.5000 0.5000 0.2666
Pd: 0.5000 0.5000 0.7334

***

[2]
First-principles (PBE-GGA) data for an optimized crystal structure of CeDyPd2, as listed in Alexandria.

* SG: No. 38

Cell: 4.5991 5.6715 5.6715 Å, 38.54 90.00 90.00°
Element x y z (fractional)
Ce: 0.0000 0.0000 0.0000
Dy: 0.5000 0.2735 0.2735
Pd: 0.0000 0.7259 0.7259
Pd: 0.5000 0.5482 0.5482

***

[3]
First-principles (PBE-GGA) data for an optimized crystal structure of CeDyPd4, as listed in Alexandria.

* SG: No. 63
* energy above the most stable polymorph in this dataset: 0.0 meV per atom

Cell: 10.1145 10.1145 5.7853 Å, 90.00 90.00 156.10°
Element x y z (fractional)
Ce: 0.0791 0.9209 0.7500
Ce: 0.9209 0.0791 0.2500
Dy: 0.2244 0.7756 0.2500
Dy: 0.7756 0.2244 0.7500
Pd: 0.0733 0.9267 0.2500
Pd: 0.3520 0.6480 0.5104
Pd: 0.3520 0.6480 0.9896
Pd: 0.5000 0.5000 0.0000
Pd: 0.5000 0.5000 0.5000
Pd: 0.6480 0.3520 0.0104
Pd: 0.6480 0.3520 0.4896
Pd: 0.9267 0.0733 0.7500

***

[4]
First-principles (PBE-GGA) data for an optimized crystal structure of CeDyPd4, as listed in Alexandria.

* SG: No. 216
* energy above the most stable polymorph in this dataset: 80.8 meV per atom

Cell: 5.4719 5.4719 5.4719 Å, 60.00 60.00 60.00°
Element x y z (fractional)
Ce: 0.0000 0.0000 0.0000
Dy: 0.2500 0.2500 0.2500
Pd: 0.1258 0.6247 0.6247
Pd: 0.6247 0.1258 0.6247
Pd: 0.6247 0.6247 0.1258
Pd: 0.6247 0.6247 0.6247

***

In meV/atom, the energy of formation values for the records above are, in order, -745 -798 -824 -744.